# CuSbSe2

A relaxed structure of CuSbSe2 (PBE-GGA, Alexandria).

E_tot = -4.007 eV/atom
calculated density = 5.86 Mg/m³
Fermi-level density of states = 0.000 states/eV/f.u.
energy relative to the elements, uncorrected = -0.210 eV per atom

Lattice parameters (Å, degrees): 6.457 4.034 14.929 90.00 90.00 90.00
Space group Pnma (No. 62)
One atom of each set of equivalent atoms:
Cu 0.249 0.250 0.170 (multiplicity 4)
Sb 0.228 0.250 0.943 (multiplicity 4)
Se 0.124 0.750 0.824 (multiplicity 4)
Se 0.127 0.250 0.596 (multiplicity 4)

# HfZn4N4

A relaxed structure of HfZn4N4 (PBE-GGA, Alexandria).

E_tot = -5.680 eV/atom
calculated density = 7.20 Mg/m³
energy relative to the elements, uncorrected = -0.307 eV per atom

Lattice parameters (Å, degrees): 8.726 7.733 6.785 90.00 90.00 90.00
Space group Cmcm (No. 63)
One atom of each set of equivalent atoms:
Hf 0.000 0.154 0.250 (multiplicity 4)
Zn 0.146 0.229 0.750 (multiplicity 8)
Zn 0.159 0.500 0.000 (multiplicity 8)
N 0.000 0.293 0.509 (multiplicity 8)
N 0.211 0.024 0.250 (multiplicity 8)

# Ce2MgSe4

A relaxed structure of Ce2MgSe4 (PBE-GGA, Alexandria).

E_tot = -5.385 eV/atom
calculated density = 5.20 Mg/m³
energy above the most stable polymorph in this dataset = 0.128 eV/atom
Fermi-level density of states = 13.204 states/eV/f.u.
energy relative to the elements, uncorrected = -1.470 eV per atom

Lattice parameters (Å, degrees): 8.535 7.496 12.390 90.00 90.00 90.00
Space group Pnma (No. 62)
One atom of each set of equivalent atoms:
Ce 0.044 0.250 0.183 (multiplicity 4)
Ce 0.078 0.750 0.470 (multiplicity 4)
Mg 0.188 0.750 0.087 (multiplicity 4)
Se 0.096 0.250 0.943 (multiplicity 4)
Se 0.144 0.507 0.657 (multiplicity 8)
Se 0.211 0.250 0.393 (multiplicity 4)

# NaAg2BiCl8

A relaxed structure of NaAg2BiCl8 (PBE-GGA, Alexandria).

E_tot = -2.820 eV/atom
calculated density = 3.42 Mg/m³
Fermi-level density of states = 10.017 states/eV/f.u.
energy relative to the elements, uncorrected = -0.680 eV per atom

Lattice parameters (Å, degrees): 9.043 9.043 8.684 90.00 90.00 90.00
Space group I-4m2 (No. 119)
One atom of each set of equivalent atoms:
Na 0.000 0.000 0.000 (multiplicity 2)
Ag 0.000 0.000 0.500 (multiplicity 2)
Ag 0.000 0.500 0.250 (multiplicity 2)
Bi 0.000 0.500 0.750 (multiplicity 2)
Cl 0.000 0.193 0.707 (multiplicity 8)
Cl 0.000 0.323 0.033 (multiplicity 8)

# KTa2Br

A relaxed structure of KTa2Br (PBE-GGA, Alexandria).

E_tot = -5.442 eV/atom
calculated density = 8.65 Mg/m³
energy above the most stable polymorph in this dataset = 0.972 eV/atom
Fermi-level density of states = 3.656 states/eV/f.u.
energy relative to the elements, uncorrected = 1.177 eV per atom

Lattice parameters (Å, degrees): 3.025 3.025 10.093 90.00 90.00 90.00
Space group P4/mmm (No. 123)
One atom of each set of equivalent atoms:
K 0.000 0.000 0.000 (multiplicity 1)
Ta 0.500 0.500 0.316 (multiplicity 2)
Br 0.000 0.000 0.500 (multiplicity 1)

# KYGaSi2

A relaxed structure of KYGaSi2 (PBE-GGA, Alexandria).

E_tot = -3.794 eV/atom
calculated density = 2.51 Mg/m³
Fermi-level density of states = 3.933 states/eV/f.u.
energy relative to the elements, uncorrected = 0.493 eV per atom

Lattice parameters (Å, degrees): 5.437 5.437 5.679 90.00 90.00 90.00
Space group P4/mmm (No. 123)
One atom of each set of equivalent atoms:
K 0.000 0.000 0.000 (multiplicity 1)
Y 0.500 0.500 0.500 (multiplicity 1)
Ga 0.500 0.500 0.000 (multiplicity 1)
Si 0.000 0.500 0.500 (multiplicity 2)

# LaHoMgTc

A relaxed structure of LaHoMgTc (PBE-GGA, Alexandria).

E_tot = -5.313 eV/atom
calculated density = 7.38 Mg/m³
ΔE_f = 0.053 eV per atom
Fermi-level density of states = 2.535 states/eV/f.u.

Lattice parameters (Å, degrees): 7.267 7.267 7.267 90.00 90.00 90.00
Space group F-43m (No. 216)
One atom of each set of equivalent atoms:
La 0.000 0.000 0.000 (multiplicity 4)
Ho 0.000 0.000 0.500 (multiplicity 4)
Mg 0.250 0.250 0.250 (multiplicity 4)
Tc 0.250 0.250 0.750 (multiplicity 4)

# Tm8TlAg2

A relaxed structure of Tm8TlAg2 (PBE-GGA, Alexandria).

E_tot = -4.135 eV/atom
calculated density = 9.90 Mg/m³
energy above the most stable polymorph in this dataset = 0.000 eV/atom
ΔE_f = -0.150 eV per atom
Fermi-level density of states = 12.114 states/eV/f.u.

Lattice parameters (Å, degrees): 16.091 5.123 8.126 90.00 117.53 90.00
Space group C2/m (No. 12)
One atom of each set of equivalent atoms:
Tm 0.063 0.000 0.228 (multiplicity 4)
Tm 0.102 0.500 0.965 (multiplicity 4)
Tm 0.151 0.000 0.709 (multiplicity 4)
Tm 0.186 0.500 0.466 (multiplicity 4)
Tl 0.000 0.500 0.500 (multiplicity 2)
Ag 0.215 0.000 0.120 (multiplicity 4)